Ni2RhS4 | PBE-GGA | optimized geometry

CIF file:
```
data_Ni2RhS4
_chemical_formula_sum 'Ni4 Rh2 S8'
_cell_length_a 4.701
_cell_length_b 4.701
_cell_length_c 11.051
_cell_angle_alpha 90.00
_cell_angle_beta 90.00
_cell_angle_gamma 90.00
_space_group_name_H-M_alt 'I 4/m m m'
_space_group_IT_number 139
_space_group_name_Hall '-I 4 2'
loop_
_atom_site_label
_atom_site_type_symbol
_atom_site_fract_x
_atom_site_fract_y
_atom_site_fract_z
_atom_site_occupancy
Ni1 Ni 0.000 0.000 0.104 1
Rh1 Rh 0.000 0.000 0.500 1
S1 S 0.000 0.000 0.288 1
S2 S 0.000 0.500 0.000 1
```

- Formation energy from raw total energies: 0.292 eV/atom
- ρ: 4.740 g/cm3
- DOS(E_F): 16.38 states/eV per cell